An optimized crystal structure of Hf12In3Pd. Source: Alexandria via LeMat-Bulk, functional PBE-GGA.

Density in g/cm³: 12.4
VASP energy in eV for the cell shown: -133.83
Crystal system: orthorhombic

abc: 5.3935 5.3935 12.4437
angles: 90.00 90.00 106.89
Fractional coordinates of all 16 atoms:
Hf (0.0000, 0.0000, 0.0000)
Hf (0.0000, 0.0000, 0.2484)
Hf (0.0000, 0.0000, 0.5000)
Hf (0.0000, 0.0000, 0.7516)
Hf (0.0000, 0.5000, 0.1219)
Hf (0.0000, 0.5000, 0.3733)
Hf (0.0000, 0.5000, 0.6267)
Hf (0.0000, 0.5000, 0.8781)
Hf (0.5000, 0.0000, 0.1219)
Hf (0.5000, 0.0000, 0.3733)
Hf (0.5000, 0.0000, 0.6267)
Hf (0.5000, 0.0000, 0.8781)
In (0.5000, 0.5000, 0.2412)
In (0.5000, 0.5000, 0.5000)
In (0.5000, 0.5000, 0.7588)
Pd (0.5000, 0.5000, 0.0000)

---

An optimized crystal structure of Hf4In5Pd2. Source: Alexandria via LeMat-Bulk, functional PBE-GGA.

Density in g/cm³: 10.7
VASP energy in eV for the cell shown: -67.60
Crystal system: monoclinic

abc: 7.6377 3.2587 9.3903
angles: 90.00 93.65 90.00
Fractional coordinates of all 11 atoms:
Hf (0.1937, 0.0000, 0.3598)
Hf (0.2222, 0.0000, 0.9310)
Hf (0.7778, 0.0000, 0.0690)
Hf (0.8063, 0.0000, 0.6402)
In (0.1549, 0.5000, 0.6397)
In (0.4613, 0.5000, 0.1705)
In (0.5000, 0.5000, 0.5000)
In (0.5387, 0.5000, 0.8295)
In (0.8451, 0.5000, 0.3604)
Pd (0.0798, 0.5000, 0.1346)
Pd (0.9202, 0.5000, 0.8654)